Computed, not measured: ZrAlTl2Hg after structural relaxation at the PBE level of DFT.

The magnetic moment is 0.0000 μB/atom. The energy relative to the elements is 0.942 eV/atom.

The space group is P4/mmm (No. 123) and the conventional cell measures 5.4390, 5.4390 and 5.5877 Å, with angles of 90.00, 90.00 and 90.00 degrees. The inequivalent atoms are Zr at (0.0000, 0.0000, 0.0000), Al at (0.5000, 0.5000, 0.0000), Tl at (0.0000, 0.5000, 0.5000) and Hg at (0.0000, 0.0000, 0.5000).

---

Computed, not measured: ZrAlTl2Hg after structural relaxation at the PBE level of DFT.

The magnetic moment is 0.0000 μB/atom. The energy relative to the elements is 0.889 eV/atom.

The space group is P4/mmm (No. 123) and the conventional cell measures 5.5940, 5.5940 and 4.8601 Å, with angles of 90.00, 90.00 and 90.00 degrees. The inequivalent atoms are Zr at (0.0000, 0.0000, 0.0000), Al at (0.5000, 0.5000, 0.0000), Tl at (0.0000, 0.5000, 0.5000) and Hg at (0.5000, 0.5000, 0.5000).

---

Computed, not measured: Tm4Al2Hg after structural relaxation at the PBE level of DFT.

The magnetic moment is 0.0000 μB/atom. The energy relative to the elements is -0.248 eV/atom.

The space group is R-3m (No. 166, hexagonal axes) and the conventional cell measures 5.0653, 5.0653 and 24.5842 Å, with angles of 90.00, 90.00 and 120.00 degrees. The inequivalent atoms are Tm at (0.0000, 0.0000, 0.1187), Tm at (0.0000, 0.0000, 0.3711), Al at (0.0000, 0.0000, 0.2495) and Hg at (0.0000, 0.0000, 0.5000).

---

Computed, not measured: TmAlHg2 after structural relaxation at the PBE level of DFT.

The magnetic moment is 0.0474 μB/atom. The energy relative to the elements is -0.192 eV/atom.

The space group is P4/mmm (No. 123) and the conventional cell measures 3.5474, 3.5474 and 7.0649 Å, with angles of 90.00, 90.00 and 90.00 degrees. The inequivalent atoms are Tm at (0.0000, 0.0000, 0.0000), Al at (0.0000, 0.0000, 0.5000) and Hg at (0.5000, 0.5000, 0.2701).

---

Computed, not measured: Tm3AlHg2 after structural relaxation at the PBE level of DFT.

The magnetic moment is 0.0000 μB/atom. The energy relative to the elements is -0.432 eV/atom.

The space group is Pmmn (No. 59, origin choice 2) and the conventional cell measures 5.1152, 15.4328 and 3.6658 Å, with angles of 90.00, 90.00 and 90.00 degrees. The inequivalent atoms are Tm at (0.2500, 0.0853, 0.0009), Tm at (0.2500, 0.7500, 0.9991), Al at (0.2500, 0.2500, 0.5008) and Hg at (0.2500, 0.5873, 0.4994).

---

Computed, not measured: Tm3AlHg after structural relaxation at the PBE level of DFT.

The magnetic moment is 0.0000 μB/atom. The energy relative to the elements is -0.156 eV/atom.

The space group is Pnma (No. 62) and the conventional cell measures 7.5830, 9.0641 and 7.9925 Å, with angles of 90.00, 90.00 and 90.00 degrees. The inequivalent atoms are Tm at (0.1001, 0.2500, 0.2386), Tm at (0.1547, 0.0633, 0.8378), Al at (0.1608, 0.7500, 0.0467) and Hg at (0.0000, 0.0000, 0.5000).

---

Computed, not measured: Tm12Al5Hg2 after structural relaxation at the PBE level of DFT.

The magnetic moment is 0.0002 μB/atom. The energy relative to the elements is -0.086 eV/atom.

The space group is C2/m (No. 12) and the conventional cell measures 14.9207, 8.5219 and 7.9941 Å, with angles of 90.00, 93.40 and 90.00 degrees. The inequivalent atoms are Tm at (0.0412, 0.0000, 0.1981), Tm at (0.0543, 0.5000, 0.6618), Tm at (0.1443, 0.2213, 0.9078), Tm at (0.1708, 0.3097, 0.3490), Al at (0.0000, 0.5000, 0.0000), Al at (0.1538, 0.0000, 0.5701), Al at (0.2458, 0.0000, 0.2393) and Hg at (0.0000, 0.1934, 0.5000).

---

Computed, not measured: Tm7Al2Hg2 after structural relaxation at the PBE level of DFT.

The magnetic moment is 0.0000 μB/atom. The energy relative to the elements is -0.037 eV/atom.

The space group is Cmmm (No. 65) and the conventional cell measures 7.6718, 10.8304 and 7.5240 Å, with angles of 90.00, 90.00 and 90.00 degrees. The inequivalent atoms are Tm at (0.0000, 0.0000, 0.0000), Tm at (0.0000, 0.5000, 0.2713), Tm at (0.2500, 0.2500, 0.2881), Al at (0.1702, 0.0000, 0.5000) and Hg at (0.0000, 0.2931, 0.0000).

---

Computed, not measured: Tm2AlHg after structural relaxation at the PBE level of DFT.

The magnetic moment is 0.0000 μB/atom. The energy relative to the elements is -0.390 eV/atom.

The space group is Fm-3m (No. 225) and the conventional cell measures 7.2652, 7.2652 and 7.2652 Å, with angles of 90.00, 90.00 and 90.00 degrees. The inequivalent atoms are Tm at (0.2500, 0.2500, 0.2500), Al at (0.0000, 0.0000, 0.0000) and Hg at (0.0000, 0.0000, 0.5000).

---

Computed, not measured: Tm3Al2Hg4 after structural relaxation at the PBE level of DFT.

The magnetic moment is 0.0000 μB/atom. The energy relative to the elements is -0.406 eV/atom.

The space group is C2/m (No. 12) and the conventional cell measures 10.8784, 4.7364 and 8.8937 Å, with angles of 90.00, 117.31 and 90.00 degrees. The inequivalent atoms are Tm at (0.0000, 0.0000, 0.0000), Tm at (0.1634, 0.5000, 0.6739), Al at (0.1098, 0.5000, 0.2792), Hg at (0.0870, 0.0000, 0.4129) and Hg at (0.1908, 0.5000, 0.0344).

---

Computed, not measured: TmAlHg after structural relaxation at the PBE level of DFT.

The magnetic moment is 0.0790 μB/atom. The energy relative to the elements is -0.239 eV/atom.

The space group is I4mm (No. 107) and the conventional cell measures 3.4132, 3.4132 and 11.4325 Å, with angles of 90.00, 90.00 and 90.00 degrees. The inequivalent atoms are Tm at (0.0000, 0.0000, 0.0000), Al at (0.0000, 0.0000, 0.6721) and Hg at (0.0000, 0.0000, 0.3178).

---

Computed, not measured: TmAl4Hg after structural relaxation at the PBE level of DFT.

The magnetic moment is 0.0000 μB/atom. The energy relative to the elements is -0.123 eV/atom.

The space group is F-43m (No. 216) and the conventional cell measures 7.8234, 7.8234 and 7.8234 Å, with angles of 90.00, 90.00 and 90.00 degrees. The inequivalent atoms are Tm at (0.0000, 0.0000, 0.0000), Al at (0.1259, 0.1259, 0.6259) and Hg at (0.2500, 0.2500, 0.2500).

---

Computed, not measured: Tm3AlHg after structural relaxation at the PBE level of DFT.

The magnetic moment is 0.0000 μB/atom. The energy relative to the elements is -0.312 eV/atom.

The space group is Cmcm (No. 63) and the conventional cell measures 5.0120, 20.2288 and 5.0134 Å, with angles of 90.00, 90.00 and 90.00 degrees. The inequivalent atoms are Tm at (0.0000, 0.0605, 0.2500), Tm at (0.0000, 0.2494, 0.2500), Tm at (0.0000, 0.4370, 0.2500), Al at (0.0000, 0.1562, 0.7500) and Hg at (0.0000, 0.3435, 0.7500).

---

Computed, not measured: Tm2Al3Hg after structural relaxation at the PBE level of DFT.

The magnetic moment is 0.0000 μB/atom. The energy relative to the elements is -0.454 eV/atom.

The space group is Pmm2 (No. 25) and the conventional cell measures 3.4654, 4.5838 and 7.9655 Å, with angles of 90.00, 90.00 and 90.00 degrees. The inequivalent atoms are Tm at (0.0000, 0.0000, 0.0000), Tm at (0.0000, 0.5000, 0.4838), Al at (0.5000, 0.0000, 0.3245), Al at (0.5000, 0.0000, 0.6534), Al at (0.5000, 0.5000, 0.1621) and Hg at (0.5000, 0.5000, 0.8246).

---

Computed, not measured: Tm8AlHg2 after structural relaxation at the PBE level of DFT.

The magnetic moment is 0.0001 μB/atom. The energy relative to the elements is -0.108 eV/atom.

The space group is C2/m (No. 12) and the conventional cell measures 8.6594, 14.3517 and 5.3309 Å, with angles of 90.00, 111.44 and 90.00 degrees. The inequivalent atoms are Tm at (0.0000, 0.2177, 0.0000), Tm at (0.1109, 0.5000, 0.8052), Tm at (0.2091, 0.1149, 0.6066), Al at (0.0000, 0.0000, 0.0000) and Hg at (0.0000, 0.3051, 0.5000).

---

Computed, not measured: Tm4AlHg2 after structural relaxation at the PBE level of DFT.

The magnetic moment is 0.0000 μB/atom. The energy relative to the elements is -0.272 eV/atom.

The space group is R-3m (No. 166, hexagonal axes) and the conventional cell measures 5.0859, 5.0859 and 24.7921 Å, with angles of 90.00, 90.00 and 120.00 degrees. The inequivalent atoms are Tm at (0.0000, 0.0000, 0.1218), Tm at (0.0000, 0.0000, 0.3737), Al at (0.0000, 0.0000, 0.5000) and Hg at (0.0000, 0.0000, 0.2494).

---

Computed, not measured: TmAlHg after structural relaxation at the PBE level of DFT.

The magnetic moment is 0.0000 μB/atom. The energy relative to the elements is -0.317 eV/atom.

The space group is F-43m (No. 216) and the conventional cell measures 6.6448, 6.6448 and 6.6448 Å, with angles of 90.00, 90.00 and 90.00 degrees. The inequivalent atoms are Tm at (0.0000, 0.0000, 0.0000), Al at (0.0000, 0.0000, 0.5000) and Hg at (0.2500, 0.2500, 0.7500).

---

Computed, not measured: TmAl2Hg after structural relaxation at the PBE level of DFT.

The magnetic moment is 0.0000 μB/atom. The energy relative to the elements is -0.325 eV/atom.

The space group is P4/mmm (No. 123) and the conventional cell measures 4.3563, 4.3563 and 4.2818 Å, with angles of 90.00, 90.00 and 90.00 degrees. The inequivalent atoms are Tm at (0.0000, 0.0000, 0.0000), Al at (0.0000, 0.5000, 0.5000) and Hg at (0.5000, 0.5000, 0.0000).

---

Computed, not measured: TmAlHg after structural relaxation at the PBE level of DFT.

The magnetic moment is 0.0000 μB/atom. The energy relative to the elements is -0.407 eV/atom.

The space group is P6_3/mmc (No. 194) and the conventional cell measures 4.6210, 4.6210 and 7.1327 Å, with angles of 90.00, 90.00 and 120.00 degrees. The inequivalent atoms are Tm at (0.0000, 0.0000, 0.0000), Al at (0.3333, 0.6667, 0.2500) and Hg at (0.3333, 0.6667, 0.7500).

---

Computed, not measured: Tm4Al2Hg5 after structural relaxation at the PBE level of DFT.

The magnetic moment is 0.0000 μB/atom. The energy relative to the elements is -0.372 eV/atom.

The space group is P2/m (No. 10) and the conventional cell measures 7.7514, 3.6041 and 9.3756 Å, with angles of 90.00, 91.70 and 90.00 degrees. The inequivalent atoms are Tm at (0.1973, 0.0000, 0.3709), Tm at (0.2556, 0.0000, 0.9138), Al at (0.0663, 0.5000, 0.1269), Hg at (0.1433, 0.5000, 0.6406), Hg at (0.4285, 0.5000, 0.1685) and Hg at (0.5000, 0.5000, 0.5000).

---

Computed, not measured: Tm5AlHg4 after structural relaxation at the PBE level of DFT.

The magnetic moment is 0.0000 μB/atom. The energy relative to the elements is -0.454 eV/atom.

The space group is P4/mmm (No. 123) and the conventional cell measures 3.6562, 3.6562 and 18.2199 Å, with angles of 90.00, 90.00 and 90.00 degrees. The inequivalent atoms are Tm at (0.0000, 0.0000, 0.0000), Tm at (0.0000, 0.0000, 0.2029), Tm at (0.0000, 0.0000, 0.4044), Al at (0.5000, 0.5000, 0.5000), Hg at (0.5000, 0.5000, 0.1017) and Hg at (0.5000, 0.5000, 0.3048).

---

Computed, not measured: Tm3Al4Hg2 after structural relaxation at the PBE level of DFT.

The magnetic moment is 0.0000 μB/atom. The energy relative to the elements is -0.438 eV/atom.

The space group is C2/m (No. 12) and the conventional cell measures 10.6552, 4.5994 and 8.7121 Å, with angles of 90.00, 115.55 and 90.00 degrees. The inequivalent atoms are Tm at (0.0000, 0.0000, 0.0000), Tm at (0.1665, 0.5000, 0.6678), Al at (0.0416, 0.0000, 0.3792), Al at (0.2370, 0.5000, 0.0657) and Hg at (0.1133, 0.5000, 0.2787).

---

Computed, not measured: Tm6AlHg2 after structural relaxation at the PBE level of DFT.

The magnetic moment is 0.0000 μB/atom. The energy relative to the elements is -0.254 eV/atom.

The space group is Immm (No. 71) and the conventional cell measures 9.7495, 9.9406 and 10.0241 Å, with angles of 90.00, 90.00 and 90.00 degrees. The inequivalent atoms are Tm at (0.0000, 0.1733, 0.2293), Tm at (0.1771, 0.5000, 0.2354), Tm at (0.1953, 0.2472, 0.5000), Al at (0.0000, 0.0000, 0.5000), Al at (0.0000, 0.5000, 0.5000), Hg at (0.0000, 0.3579, 0.0000) and Hg at (0.1519, 0.0000, 0.0000).

---

Computed, not measured: TmAlHg after structural relaxation at the PBE level of DFT.

The magnetic moment is 0.0000 μB/atom. The energy relative to the elements is -0.095 eV/atom.

The space group is Ama2 (No. 40) and the conventional cell measures 7.4291, 6.3944 and 6.3953 Å, with angles of 90.00, 90.00 and 90.00 degrees. The inequivalent atoms are Tm at (0.2500, 0.2494, 0.0000), Al at (0.2500, 0.2496, 0.4996) and Hg at (0.0000, 0.0000, 0.7495).